[1]
Here is a relaxed CrTcP2O crystal from the Alexandria database. Energies are from GGA-PBEsol.

Calculated values
**Energy relative to the elements, uncorrected**: 0.09 eV/atom
**Magnetic moment**: 4.4 μB/cell

```
data_CrTcP2O
_chemical_formula_sum 'Cr1 Tc1 P2 O1'
_cell_length_a 4.708
_cell_length_b 4.708
_cell_length_c 3.609
_cell_angle_alpha 90.00
_cell_angle_beta 90.00
_cell_angle_gamma 90.00
_space_group_name_H-M_alt 'P 4/m m m'
_space_group_IT_number 123
_space_group_name_Hall '-P 4 2'
loop_
_atom_site_label
_atom_site_type_symbol
_atom_site_fract_x
_atom_site_fract_y
_atom_site_fract_z
Cr1 Cr 0.000 0.000 0.000
Tc1 Tc 0.500 0.500 0.500
P1 P 0.000 0.500 0.500
O1 O 0.500 0.500 0.000
```

=====

[2]
Here is a relaxed UTl4C3O11 crystal from the Alexandria database. Energies are from GGA-PBEsol.

Calculated values
**Energy relative to the elements, uncorrected**: -1.59 eV/atom
**Magnetic moment**: 0.0 μB/cell

```
data_UTl4C3O11
_chemical_formula_sum 'U4 Tl16 C12 O44'
_cell_length_a 10.496
_cell_length_b 9.298
_cell_length_c 12.783
_cell_angle_alpha 90.00
_cell_angle_beta 94.97
_cell_angle_gamma 90.00
_space_group_name_H-M_alt 'C 1 2/c 1'
_space_group_IT_number 15
_space_group_name_Hall '-C 2yc'
loop_
_atom_site_label
_atom_site_type_symbol
_atom_site_fract_x
_atom_site_fract_y
_atom_site_fract_z
U1 U 0.000 0.199 0.250
Tl1 Tl 0.108 0.315 0.551
Tl2 Tl 0.183 0.149 0.850
C1 C 0.000 0.494 0.750
C2 C 0.113 0.042 0.088
O1 O 0.000 0.358 0.750
O2 O 0.046 0.429 0.176
O3 O 0.062 0.021 0.667
O4 O 0.098 0.182 0.086
O5 O 0.161 0.199 0.320
O6 O 0.170 0.027 0.522
```

=====

Question: What is the formula in the first record?
Answer: CrTcP2O